Below is a relaxed CoBPO2 crystal, with properties calculated at the PBE with a Hubbard U level.

The size of the total moment is 0.492 μB/atom. The crystal system is tetragonal. The calculation puts the energy above the most stable polymorph in this dataset at 0.656 eV/atom. The value obtained for the total energy is -4.85 eV/atom.

It has space group P4/mmm (No. 123), with a = 3.4420 Å, b = 3.4420 Å, c = 5.0213 Å, α = 90.00°, β = 90.00° and γ = 90.00°. Symmetry generates all atoms from Co at (0.0000, 0.0000, 0.0000), B at (0.5000, 0.5000, 0.5000), P at (0.0000, 0.0000, 0.5000) and O at (0.0000, 0.5000, 0.0000).